(1)
Density functional theory data (PBE-GGA) for Al2SiNi4 after structural relaxation.

Values from the calculation:
- Energy relative to the lowest polymorph listed for this composition: 339.3 meV/atom
- Total DFT energy (no corrections): -37.21 eV per formula unit
- ρ: 6.0 g/cm³

a = 2.6835 Å, b = 2.6835 Å, c = 14.0945 Å
α = 90.00°, β = 90.00°, γ = 120.00°
Positions (direct):
Al 0.6667 0.3333 0.7961
Al 0.3333 0.6667 0.2039
Ni 0.6667 0.3333 0.6255
Ni 0.3333 0.6667 0.9290
Ni 0.3333 0.6667 0.3745
Ni 0.6667 0.3333 0.0710
Si 0.0000 0.0000 0.5000



(2)
Density functional theory data (PBE-GGA) for Zr3As after structural relaxation.

Values from the calculation:
- Total DFT energy (no corrections): -31.99 eV per formula unit
- ρ: 7.2 g/cm³
- DFT formation energy: -0.4245 eV/atom

a = 4.5853 Å, b = 4.5853 Å, c = 3.8488 Å
α = 90.00°, β = 90.00°, γ = 90.00°
Positions (direct):
Zr 0.5000 0.0000 0.5000
As 0.0000 0.0000 0.0000
Zr 0.0000 0.5000 0.5000
Zr 0.5000 0.5000 0.0000